P) 4
Lattice="3.572 0.000 0.000 0.000 3.572 0.000 0.000 0.000 4.519" Properties=species:S:1:pos:R:3 comment="MnFe2Cl PBE optimized geometry" magnetic_moment_mub_per_cell=9.703 space_group="P4/mmm (123)" crystal_system=tetragonal vol_a3_per_cell=57.7 pbc="T T T"
Mn 0.000 0.000 0.000
Fe 0.000 1.786 2.259
Fe 1.786 0.000 2.259
Cl 1.786 1.786 0.000

Q) 4
Lattice="1.529 -2.374 0.000 1.529 2.374 0.000 0.000 0.000 7.759" Properties=species:S:1:pos:R:3 comment="MnFe2Cl PBE optimized geometry" magnetic_moment_mub_per_cell=8.628 space_group="Cmmm (65)" crystal_system=orthorhombic vol_a3_per_cell=56.3 pbc="T T T"
Mn 0.000 0.000 0.000
Fe 1.529 0.000 1.916
Fe 1.529 0.000 5.843
Cl 0.000 0.000 3.880

R) 4
Lattice="-1.915 1.915 3.896 1.915 -1.915 3.896 1.915 1.915 -3.896" Properties=species:S:1:pos:R:3 comment="MnFe2Cl PBE optimized geometry" magnetic_moment_mub_per_cell=9.612 space_group="I-4m2 (119)" crystal_system=tetragonal vol_a3_per_cell=57.1 pbc="T T T"
Mn 0.000 0.000 0.000
Fe 0.000 0.000 3.896
Fe 0.000 1.915 1.948
Cl 1.915 0.000 1.948

The most stable of them is Q).

P) 4
Lattice="0.000 3.057 3.057 3.057 0.000 3.057 3.057 3.057 0.000" Properties=species:S:1:pos:R:3 comment="MnFe2Cl PBE optimized geometry" magnetic_moment_mub_per_cell=9.381 space_group="F-43m (216)" crystal_system=cubic vol_a3_per_cell=57.1 pbc="T T T"
Mn 0.000 0.000 0.000
Fe 1.528 1.528 1.528
Fe 3.057 3.057 3.057
Cl 4.585 4.585 4.585

Q) 4
Lattice="1.576 -2.416 0.000 1.576 2.416 0.000 0.000 0.000 7.730" Properties=species:S:1:pos:R:3 comment="MnFe2Cl PBE optimized geometry" magnetic_moment_mub_per_cell=9.534 space_group="Cmm2 (35)" crystal_system=orthorhombic vol_a3_per_cell=58.9 pbc="T T T"
Mn 0.000 0.000 0.000
Fe 0.000 0.000 3.732
Fe 1.576 0.000 1.969
Cl 1.576 0.000 5.769

R) 4
Lattice="1.499 0.865 7.543 -1.499 0.865 7.543 0.000 -1.731 7.543" Properties=species:S:1:pos:R:3 comment="MnFe2Cl PBE optimized geometry" magnetic_moment_mub_per_cell=9.321 space_group="R3m (160)" crystal_system=trigonal vol_a3_per_cell=58.7 pbc="T T T"
Mn 0.000 0.000 0.000
Fe 0.000 0.000 11.175
Fe 0.000 0.000 17.030
Cl 0.000 0.000 5.595

The most stable of them is R).

P) 4
Lattice="2.931 0.000 0.000 0.000 4.429 0.000 0.000 0.000 4.807" Properties=species:S:1:pos:R:3 comment="Mn2FeCl PBE optimized geometry" magnetic_moment_mub_per_cell=10.789 space_group="Pmmm (47)" crystal_system=orthorhombic vol_a3_per_cell=62.4 pbc="T T T"
Mn 0.000 0.000 0.000
Mn 1.466 0.000 2.403
Fe 0.000 2.215 2.403
Cl 1.466 2.215 0.000

Q) 4
Lattice="3.017 0.000 0.000 0.000 3.017 0.000 0.000 0.000 6.731" Properties=species:S:1:pos:R:3 comment="Mn2FeCl PBE optimized geometry" magnetic_moment_mub_per_cell=10.130 space_group="P4/mmm (123)" crystal_system=tetragonal vol_a3_per_cell=61.3 pbc="T T T"
Mn 0.000 0.000 1.451
Mn 0.000 0.000 5.280
Fe 1.509 1.509 0.000
Cl 1.509 1.509 3.366

The most stable of them is Q).

P) 5
Lattice="4.529 0.000 0.000 0.000 4.529 0.000 0.000 0.000 4.529" Properties=species:S:1:pos:R:3 comment="FeMo3Cl PBE optimized geometry" magnetic_moment_mub_per_cell=0.000 space_group="Pm-3m (221)" crystal_system=cubic vol_a3_per_cell=92.9 pbc="T T T"
Fe 0.000 0.000 0.000
Mo 0.000 0.000 2.265
Mo 0.000 2.265 0.000
Mo 2.265 0.000 0.000
Cl 2.265 2.265 2.265

Q) 5
Lattice="4.348 0.000 0.000 0.000 4.348 0.000 0.000 0.000 4.348" Properties=species:S:1:pos:R:3 comment="FeMo3Cl PBE optimized geometry" magnetic_moment_mub_per_cell=0.000 space_group="Pm-3m (221)" crystal_system=cubic vol_a3_per_cell=82.2 pbc="T T T"
Fe 0.000 0.000 0.000
Mo 0.000 2.174 2.174
Mo 2.174 0.000 2.174
Mo 2.174 2.174 0.000
Cl 2.174 2.174 2.174

The most stable of them is Q).

P) 5
Lattice="4.415 0.000 0.000 0.000 4.415 0.000 0.000 0.000 5.126" Properties=species:S:1:pos:R:3 comment="FeMoPCl2 PBE optimized geometry" magnetic_moment_mub_per_cell=6.578 space_group="P4/mmm (123)" crystal_system=tetragonal vol_a3_per_cell=99.9 pbc="T T T"
Fe 0.000 0.000 0.000
Mo 2.207 2.207 2.563
P 0.000 0.000 2.563
Cl 0.000 2.207 0.000
Cl 2.207 0.000 0.000

Q) 5
Lattice="4.851 0.000 0.000 0.000 4.851 0.000 0.000 0.000 4.779" Properties=species:S:1:pos:R:3 comment="FeMoPCl2 PBE optimized geometry" magnetic_moment_mub_per_cell=5.328 space_group="P4/mmm (123)" crystal_system=tetragonal vol_a3_per_cell=112.5 pbc="T T T"
Fe 0.000 0.000 0.000
Mo 2.425 2.425 2.390
P 2.425 2.425 0.000
Cl 0.000 2.425 2.390
Cl 2.425 0.000 2.390

The most stable of them is Q).

P) 5
Lattice="3.904 0.000 0.000 0.000 3.904 0.000 0.000 0.000 4.297" Properties=species:S:1:pos:R:3 comment="FeP2NCl PBE optimized geometry" magnetic_moment_mub_per_cell=2.794 space_group="P4/mmm (123)" crystal_system=tetragonal vol_a3_per_cell=65.5 pbc="T T T"
Fe 0.000 0.000 0.000
P 0.000 1.952 2.149
P 1.952 0.000 2.149
N 1.952 1.952 2.149
Cl 1.952 1.952 0.000

Q) 5
Lattice="4.236 0.000 0.000 0.000 4.236 0.000 0.000 0.000 4.551" Properties=species:S:1:pos:R:3 comment="FeP2NCl PBE optimized geometry" magnetic_moment_mub_per_cell=0.000 space_group="P4/mmm (123)" crystal_system=tetragonal vol_a3_per_cell=81.6 pbc="T T T"
Fe 0.000 0.000 0.000
P 0.000 2.118 0.000
P 2.118 0.000 0.000
N 2.118 2.118 2.275
Cl 0.000 0.000 2.275

The most stable of them is P).